TiZn2Au3 (PBE-GGA, optimized geometry); N(E_F) = 3.73 states/eV per cell; E = -3.66 eV/atom; crystal system = tetragonal; size of the total moment = 0.86 μB per cell
1.0
3.148 0.000 0.000
0.000 3.148 0.000
0.000 0.000 10.072
Ti Zn Au
1 2 3
Cartesian
0.000 0.000 0.000 Ti
0.000 0.000 3.387 Zn
0.000 0.000 6.685 Zn
1.574 1.574 1.744 Au
1.574 1.574 5.036 Au
1.574 1.574 8.328 Au